## Ni2SnHPt (PBE-GGA)

Data for Ni2SnHPt after structural relaxation.

a = 3.794 Å, b = 3.794 Å, c = 4.230 Å
α = 90.00°, β = 90.00°, γ = 90.00°
Space group P4/mmm (No. 123)
One atom of each set of equivalent atoms:
Ni  0.000  0.500  0.000 x2
Sn  0.000  0.000  0.500 x1
H  0.000  0.000  0.000 x1
Pt  0.500  0.500  0.500 x1

Calculated values
Mass density: 11.79 g cm⁻³
Calculated volume: 12.18 A^3/atom
VASP energy: -5.019 eV per atom
Energy relative to the lowest polymorph listed for this composition: 167 meV per atom